# 1
This record from Alexandria describes La3Er3MgSe8 after structural relaxation. The functional is GGA-PBE.

a b c (Å): 8.2150 8.2165 8.3877
angles (deg): 119.34 90.00 119.99
With the nearest neighbours (Å) after each atom.
Positions (direct):
Se1 0.7460 0.9864 0.7268  1 Mg 2.82, 2 Er 2.85, 2 La 3.02
Se2 0.7595 0.0135 0.2731  1 Mg 2.82, 2 Er 2.85, 2 La 3.02
Se3 0.2406 0.4812 0.7270  1 Mg 2.82, 2 Er 2.85, 2 La 3.02
Se4 0.7430 0.4860 0.7290  3 Er 2.85, 3 La 3.02
Se5 0.2405 0.9865 0.7269  1 Mg 2.82, 2 Er 2.85, 2 La 3.02
Se6 0.2540 0.0136 0.2732  1 Mg 2.82, 2 Er 2.85, 2 La 3.02
Se7 0.7594 0.5188 0.2730  1 Mg 2.82, 2 Er 2.85, 2 La 3.02
Se8 0.2570 0.5140 0.2710  3 Er 2.85, 3 La 3.02
La1 0.0000 0.0000 0.0000  6 Se 3.02
La2 0.0000 0.5000 0.0000  6 Se 3.02
La3 0.5000 0.5000 0.0000  6 Se 3.02
Er1 0.5000 0.5000 0.5000  6 Se 2.85
Er2 0.5000 0.0000 0.5000  6 Se 2.85
Er3 0.0000 0.5000 0.5000  6 Se 2.85
Mg1 0.0000 0.0000 0.5000  6 Se 2.82

Computed properties:
The value obtained for the uncorrected formation energy is -1.82 eV per atom. The symmetry is No. 166.

***

# 2
This record from Alexandria describes Pr2SmTmTe5 after structural relaxation. The functional is GGA-PBE.

a b c (Å): 5.4846 5.4846 11.6810
angles (deg): 90.00 90.00 90.00
With the nearest neighbours (Å) after each atom.
Positions (direct):
Te1 0.0000 0.0000 0.2493  1 Sm 2.91, 1 Tm 2.93
Te2 0.0000 0.5000 0.5000  2 Tm 2.74
Te3 0.5000 0.5000 0.0000  4 Sm 3.88, 2 Pr 3.90
Te4 0.0000 0.0000 0.7507  1 Sm 2.91, 1 Tm 2.93
Te5 0.5000 0.0000 0.5000  2 Tm 2.74
Tm1 0.0000 0.0000 0.5000  6 Te 2.74-2.93
Pr1 0.5000 0.5000 0.6657  4 Te 3.36
Pr2 0.5000 0.5000 0.3343  4 Te 3.36
Sm1 0.0000 0.0000 0.0000  2 Te 2.91

Computed properties:
The value obtained for the uncorrected formation energy is -0.87 eV per atom. The symmetry is No. 123.

***

# 3
This record from Alexandria describes Na3ReTe after structural relaxation. The functional is GGA-PBE.

a b c (Å): 5.6894 5.6894 5.6894
angles (deg): 90.00 90.00 90.00
With the nearest neighbours (Å) after each atom.
Positions (direct):
Te1 0.5000 0.5000 0.5000  12 Na 4.02
Na1 0.0000 0.5000 0.0000  2 Re 2.84
Na2 0.0000 0.0000 0.5000  2 Re 2.84
Na3 0.5000 0.0000 0.0000  2 Re 2.84
Re1 0.0000 0.0000 0.0000  6 Na 2.84

Computed properties:
Its energy above the lowest structure with this stoichiometry is 232 meV/atom. The value obtained for the uncorrected formation energy is 1.14 eV per atom. The symmetry is No. 221.

***

# 4
This record from Alexandria describes PrSnPd4 after structural relaxation. The functional is GGA-PBE.

a b c (Å): 5.4277 5.4277 9.2042
angles (deg): 90.00 90.00 90.00
With the nearest neighbours (Å) after each atom.
Positions (direct):
Pd1 0.0000 0.2648 0.7679  3 Pd 2.55-2.74, 1 Sn 2.57, 1 Pr 2.85
Pd2 0.2648 0.0000 0.2321  3 Pd 2.55-2.74, 1 Sn 2.57, 1 Pr 2.85
Pd3 0.0000 0.7352 0.7679  3 Pd 2.55-2.74, 1 Sn 2.57, 1 Pr 2.85
Pd4 0.7352 0.0000 0.2321  3 Pd 2.55-2.74, 1 Sn 2.57, 1 Pr 2.85
Pd5 0.5000 0.2352 0.7321  3 Pd 2.55-2.74, 1 Sn 2.57, 1 Pr 2.85
Pd6 0.5000 0.7648 0.7321  3 Pd 2.55-2.74, 1 Sn 2.57, 1 Pr 2.85
Pd7 0.2352 0.5000 0.2679  3 Pd 2.55-2.74, 1 Sn 2.57, 1 Pr 2.85
Pd8 0.7648 0.5000 0.2679  3 Pd 2.55-2.74, 1 Sn 2.57, 1 Pr 2.85
Pr1 0.0000 0.0000 0.5000  4 Pd 2.85
Pr2 0.5000 0.5000 0.0000  4 Pd 2.85
Sn1 0.0000 0.0000 0.0000  4 Pd 2.57
Sn2 0.5000 0.5000 0.5000  4 Pd 2.57

Computed properties:
Its energy above the lowest structure with this stoichiometry is 315 meV/atom. As for the calculated formation energy: -1.71 eV per formula unit. The symmetry is No. 137.

***

# 5
This record from Alexandria describes SrZrCd2 after structural relaxation. The functional is GGA-PBE.

a b c (Å): 8.4251 8.4251 6.8652
angles (deg): 52.15 52.15 90.00
With the nearest neighbours (Å) after each atom.
Positions (direct):
Cd1 0.0896 0.6250 0.2500  2 Zr 2.90
Cd2 0.8750 0.9104 0.7500  2 Zr 2.90
Cd3 0.6604 0.1250 0.2500  2 Zr 2.90
Cd4 0.3750 0.3396 0.7500  2 Zr 2.90
Zr1 0.7500 0.2500 0.5000  4 Cd 2.90
Zr2 0.0000 0.0000 0.0000  4 Cd 2.90
Sr1 0.5000 0.5000 0.0000  4 Cd 3.31, 2 Zr 3.41
Sr2 0.2500 0.7500 0.5000  4 Cd 3.31, 2 Zr 3.41

Computed properties:
As for the calculated formation energy: 1.33 eV per formula unit. The symmetry is No. 122.

***

# 6
This record from Alexandria describes Th2GePb after structural relaxation. The functional is GGA-PBE.

a b c (Å): 4.0846 4.0846 8.8863
angles (deg): 76.71 76.71 60.00
With the nearest neighbours (Å) after each atom.
Positions (direct):
Th1 0.0689 0.0689 0.7933  3 Ge 2.94
Th2 0.2643 0.2643 0.2070  3 Ge 2.96
Ge1 0.6672 0.6672 0.9983  6 Th 2.94-2.96
Pb1 0.4995 0.4995 0.5014  6 Th 3.44-3.45

Computed properties:
Its energy above the lowest structure with this stoichiometry is 79 meV/atom. As for the calculated formation energy: -1.72 eV per formula unit. The symmetry is No. 160.

***

# 7
This record from Alexandria describes Zn2IrRu after structural relaxation. The functional is GGA-PBE.

a b c (Å): 2.7378 2.7378 8.9932
angles (deg): 90.00 90.00 119.87
With the nearest neighbours (Å) after each atom.
Positions (direct):
Ir1 0.0000 0.0000 0.5004  2 Zn 2.62, 2 Ru 2.63, 6 Ir 2.74
Ru1 0.5000 0.5000 0.7502  2 Zn 2.61, 2 Ir 2.63, 6 Ru 2.74
Zn1 0.0000 0.0000 0.9975  2 Ru 2.61, 8 Zn 2.67-2.74
Zn2 0.5000 0.5000 0.2519  2 Ir 2.62, 8 Zn 2.67-2.74

Computed properties:
Its energy above the lowest structure with this stoichiometry is 195 meV/atom. As for the calculated formation energy: 0.52 eV per formula unit. The symmetry is No. 35.

***

# 8
This record from Alexandria describes LiMnP after structural relaxation. The functional is GGA-PBE.

a b c (Å): 4.1254 4.1254 5.0210
angles (deg): 90.00 90.00 120.00
With the nearest neighbours (Å) after each atom.
Positions (direct):
Li1 0.0000 0.0000 0.7500  2 Li 2.51, 6 Mn 2.69, 6 P 2.69
Li2 0.0000 0.0000 0.2500  2 Li 2.51, 6 Mn 2.69, 6 P 2.69
P1 0.6667 0.3333 0.0000  5 Mn 2.38-2.51
P2 0.3333 0.6667 0.5000  5 Mn 2.38-2.51
Mn1 0.6667 0.3333 0.5000  5 P 2.38-2.51
Mn2 0.3333 0.6667 0.0000  5 P 2.38-2.51

Computed properties:
As for the calculated formation energy: -1.10 eV per formula unit. The symmetry is No. 194.

***

# 9
This record from Alexandria describes ZrNiW2 after structural relaxation. The functional is GGA-PBE.

a b c (Å): 4.4997 4.4997 4.4997
angles (deg): 60.00 60.00 60.00
With the nearest neighbours (Å) after each atom.
Positions (direct):
W1 0.7500 0.7500 0.7500  4 Zr 2.76, 4 Ni 2.76
W2 0.2500 0.2500 0.2500  4 Zr 2.76, 4 Ni 2.76
Zr1 0.5000 0.5000 0.5000  8 W 2.76
Ni1 0.0000 0.0000 0.0000  8 W 2.76

Computed properties:
Its energy above the lowest structure with this stoichiometry is 434 meV/atom. As for the calculated formation energy: 1.88 eV per formula unit. The symmetry is No. 225.

***

# 10
This record from Alexandria describes Pm12TmIn3 after structural relaxation. The functional is GGA-PBE.

a b c (Å): 4.9671 4.9671 20.1953
angles (deg): 90.00 90.00 90.00
With the nearest neighbours (Å) after each atom.
Positions (direct):
Pm1 0.5000 0.0000 0.8701  8 Pm 3.51-3.61, 2 In 3.55, 2 Tm 3.61
Pm2 0.5000 0.0000 0.1299  8 Pm 3.51-3.61, 2 In 3.55, 2 Tm 3.61
Pm3 0.5000 0.0000 0.3765  4 In 3.49-3.52, 8 Pm 3.51-3.52
Pm4 0.0000 0.5000 0.3765  4 In 3.49-3.52, 8 Pm 3.51-3.52
Pm5 0.5000 0.0000 0.6235  4 In 3.49-3.52, 8 Pm 3.51-3.52
Pm6 0.0000 0.5000 0.1299  8 Pm 3.51-3.61, 2 In 3.55, 2 Tm 3.61
Pm7 0.5000 0.5000 0.2534  4 In 3.51, 8 Pm 3.51-3.52
Pm8 0.0000 0.5000 0.8701  8 Pm 3.51-3.61, 2 In 3.55, 2 Tm 3.61
Pm9 0.5000 0.5000 0.5000  4 In 3.51, 8 Pm 3.52
Pm10 0.5000 0.5000 0.7466  4 In 3.51, 8 Pm 3.51-3.52
Pm11 0.0000 0.5000 0.6235  4 In 3.49-3.52, 8 Pm 3.51-3.52
Pm12 0.5000 0.5000 0.0000  4 Tm 3.51, 8 Pm 3.61
In1 0.0000 0.0000 0.2554  12 Pm 3.49-3.55
In2 0.0000 0.0000 0.7446  12 Pm 3.49-3.55
In3 0.0000 0.0000 0.5000  12 Pm 3.51-3.52
Tm1 0.0000 0.0000 0.0000  12 Pm 3.51-3.61

Computed properties:
As for the calculated formation energy: -3.17 eV per formula unit. The symmetry is No. 123.